Compound: CsCo3B
Source: Alexandria via LeMat-Bulk
Functional: PBE-GGA
Structure: optimized geometry

Cell: 4.7049 4.7049 4.7049 Å, 90.00 90.00 90.00°
With the nearest neighbours (Å) after each atom.
Fractional positions:
Cs (0.0000, 0.0000, 0.0000)  6 Co 2.35
Co (0.0000, 0.0000, 0.5000)  2 Cs 2.35
Co (0.0000, 0.5000, 0.0000)  2 Cs 2.35
Co (0.5000, 0.0000, 0.0000)  2 Cs 2.35
B (0.5000, 0.5000, 0.5000)  12 Co 3.33

Summary:
Space group ... No. 221
Formation enthalpy at 0 K ... 3.25 eV per atom
DOS at the Fermi energy ... 7.32 states/eV per cell
Crystal system ... cubic
Offset from the most stable computed form ... 2.262 eV per atom